# 1
First-principles (PBE) data for crystalline Dy4U2Ru5 at its relaxed geometry, as listed in Alexandria via LeMat-Bulk.

Calculated values
- Symmetry: Ibam (72)
- Energy relative to the elements: -0.27 eV/atom
- Total moment: 1.44 μB per formula unit

Lattice parameters (Å, degrees): 6.0764 8.7055 10.3490 114.87 107.07 90.00
Atoms (fractional coordinates):
Dy1 0.3640 0.9838 0.7281
Ru1 0.7768 0.9487 0.5537
Dy2 0.8640 0.7443 0.7281
Ru2 0.7500 0.0000 0.0000
Dy3 0.6360 0.0162 0.2719
Ru3 0.5826 0.6454 0.1652
Dy4 0.5559 0.3022 0.1119
Ru4 0.2768 0.6049 0.5537
Ru5 0.0826 0.5198 0.1652
Dy5 0.1360 0.2557 0.2719
Dy6 0.9441 0.1903 0.8881
Dy7 0.4441 0.6978 0.8881
Ru6 0.9174 0.4802 0.8348
Ru7 0.2500 0.0000 0.0000
U1 0.0544 0.3044 0.6088
Ru8 0.4174 0.3546 0.8348
U2 0.5544 0.3044 0.6088
Dy8 0.0559 0.8097 0.1119
U3 0.9456 0.6956 0.3912
Ru9 0.2232 0.0513 0.4463
U4 0.4456 0.6956 0.3912
Ru10 0.7232 0.3951 0.4463

# 2
First-principles (PBE) data for crystalline PmGd2Sc at its relaxed geometry, as listed in Alexandria via LeMat-Bulk.

Calculated values
- Symmetry: P4/mmm (123)
- Energy relative to the elements: 0.05 eV/atom
- Total moment: 14.83 μB per formula unit

Lattice parameters (Å, degrees): 3.5672 3.5672 9.6861 90.00 90.00 90.00
Atoms (fractional coordinates):
Sc1 0.5000 0.5000 0.0000
Gd1 0.0000 0.0000 0.2334
Pm1 0.5000 0.5000 0.5000
Gd2 0.0000 0.0000 0.7666

# 3
First-principles (PBE) data for crystalline LuCdIrAu at its relaxed geometry, as listed in Alexandria via LeMat-Bulk.

Calculated values
- Symmetry: F-43m (216)
- Energy relative to the elements: -0.48 eV/atom
- Total moment: 0.00 μB per formula unit

Lattice parameters (Å, degrees): 4.7714 4.7714 4.7714 60.00 60.00 60.00
Atoms (fractional coordinates):
Cd1 0.5000 0.5000 0.5000
Ir1 0.2500 0.2500 0.2500
Lu1 0.0000 0.0000 0.0000
Au1 0.7500 0.7500 0.7500

# 4
First-principles (PBE) data for crystalline GdHoPb2 at its relaxed geometry, as listed in Alexandria via LeMat-Bulk.

Calculated values
- Symmetry: P4/mmm (123)
- Energy relative to the elements: -0.46 eV/atom
- Total moment: 7.89 μB per formula unit

Lattice parameters (Å, degrees): 4.4663 5.0321 5.0321 90.00 90.00 90.00
Atoms (fractional coordinates):
Pb1 0.0000 0.5000 0.0000
Pb2 0.0000 0.0000 0.5000
Gd1 0.5000 0.5000 0.5000
Ho1 0.5000 0.0000 0.0000

# 5
First-principles (PBE) data for crystalline Li4Pu3CuSe8 at its relaxed geometry, as listed in Alexandria via LeMat-Bulk.

Calculated values
- Symmetry: C2/m (12)
- Formation energy from raw total energies: -18.52 eV/f.u.
- Total moment: 13.02 μB per formula unit

Lattice parameters (Å, degrees): 7.9846 7.9135 8.0858 120.68 119.59 90.00
Atoms (fractional coordinates):
Li1 0.5000 0.0000 0.0000
Li2 0.0000 0.0000 0.5000
Cu1 0.0000 0.5000 0.0000
Pu1 0.5000 0.5000 0.0000
Li3 0.5000 0.0000 0.5000
Se1 0.2486 0.2414 0.4972
Se2 0.7514 0.7586 0.5028
Se3 0.7646 0.7395 0.9993
Se4 0.2354 0.2605 0.0007
Pu2 0.0000 0.5000 0.5000
Pu3 0.5000 0.5000 0.5000
Se5 0.2583 0.7605 0.5165
Se6 0.7653 0.2605 0.0007
Li4 0.0000 0.0000 0.0000
Se7 0.2347 0.7395 0.9993
Se8 0.7417 0.2395 0.4835

# 6
First-principles (PBE) data for crystalline VGeIr at its relaxed geometry, as listed in Alexandria via LeMat-Bulk.

Calculated values
- Symmetry: Cmcm (63)
- Energy relative to the elements: 0.21 eV/atom
- Total moment: 0.03 μB per formula unit

Lattice parameters (Å, degrees): 2.7982 4.5271 8.1825 73.94 90.00 90.00
Atoms (fractional coordinates):
Ge1 0.7500 0.7697 0.4607
V1 0.7500 0.3675 0.2650
Ir1 0.7500 0.9306 0.1387
V2 0.2500 0.6325 0.7350
Ir2 0.2500 0.0694 0.8613
Ge2 0.2500 0.2303 0.5393

Repeat the second record exactly.
First-principles (PBE) data for crystalline PmGd2Sc at its relaxed geometry, as listed in Alexandria via LeMat-Bulk.

Calculated values
- Symmetry: P4/mmm (123)
- Energy relative to the elements: 0.05 eV/atom
- Total moment: 14.83 μB per formula unit

Lattice parameters (Å, degrees): 3.5672 3.5672 9.6861 90.00 90.00 90.00
Atoms (fractional coordinates):
Sc1 0.5000 0.5000 0.0000
Gd1 0.0000 0.0000 0.2334
Pm1 0.5000 0.5000 0.5000
Gd2 0.0000 0.0000 0.7666